Record 1
Below is an optimized crystal structure of LaTaNi2, with properties calculated at the GGA-PBEsol level.

## Properties
Polymorph energy (0 for the lowest one)   316.5 meV per atom
Symmetry   No. 119
Final energy   -7.2393 eV per atom
Formation energy   121 kJ/mol of formula units

Unit cell a=5.2136 b=5.2136 c=5.2136 alpha=136.53 beta=136.53 gamma=63.17
Fractional coordinates of all 4 atoms:
La (0.0000, 0.0000, 0.0000)
Ta (0.2500, 0.7500, 0.5000)
Ni (0.5000, 0.5000, 0.0000)
Ni (0.7500, 0.2500, 0.5000)


Record 2
Below is an optimized crystal structure of LaTcNi2, with properties calculated at the GGA-PBEsol level.

## Properties
Polymorph energy (0 for the lowest one)   0.0 meV per atom
Symmetry   No. 160
Final energy   -7.2671 eV per atom
Formation energy   -14 kJ/mol of formula units

Unit cell a=5.4752 b=5.4752 c=5.4752 alpha=44.47 beta=44.47 gamma=44.47
Fractional coordinates of all 4 atoms:
La (0.0000, 0.0000, 0.0000)
Tc (0.1824, 0.1824, 0.1824)
Ni (0.4956, 0.4956, 0.4956)
Ni (0.8089, 0.8089, 0.8089)


Record 3
Below is an optimized crystal structure of LaTcNi2, with properties calculated at the GGA-PBEsol level.

## Properties
Polymorph energy (0 for the lowest one)   181.9 meV per atom
Symmetry   No. 10
Final energy   -7.0852 eV per atom
Formation energy   57 kJ/mol of formula units

Unit cell a=2.8105 b=3.4638 c=6.5185 alpha=90.00 beta=90.15 gamma=90.00
Fractional coordinates of all 4 atoms:
La (0.0000, 0.0000, 0.0000)
Tc (0.0000, 0.0000, 0.5000)
Ni (0.4995, 0.5000, 0.3168)
Ni (0.5005, 0.5000, 0.6832)


Record 4
Below is an optimized crystal structure of LaTiNi2, with properties calculated at the GGA-PBEsol level.

## Properties
Symmetry   No. 225
Final energy   -6.4837 eV per atom
Formation energy   5 kJ/mol of formula units

Unit cell a=4.5793 b=4.5793 c=4.5793 alpha=60.00 beta=60.00 gamma=60.00
Fractional coordinates of all 4 atoms:
La (0.0000, 0.0000, 0.0000)
Ti (0.5000, 0.5000, 0.5000)
Ni (0.2500, 0.2500, 0.2500)
Ni (0.7500, 0.7500, 0.7500)


Record 5
Below is an optimized crystal structure of LaTiNi3, with properties calculated at the GGA-PBEsol level.

## Properties
Symmetry   No. 221
Final energy   -5.1610 eV per atom
Formation energy   611 kJ/mol of formula units

Unit cell a=4.6002 b=4.6002 c=4.6002 alpha=90.00 beta=90.00 gamma=90.00
Fractional coordinates of all 5 atoms:
La (0.0000, 0.0000, 0.0000)
Ti (0.5000, 0.5000, 0.5000)
Ni (0.0000, 0.0000, 0.5000)
Ni (0.0000, 0.5000, 0.0000)
Ni (0.5000, 0.0000, 0.0000)


Record 6
Below is an optimized crystal structure of LaTi3Ni, with properties calculated at the GGA-PBEsol level.

## Properties
Symmetry   No. 221
Final energy   -7.0796 eV per atom
Formation energy   104 kJ/mol of formula units

Unit cell a=4.6370 b=4.6370 c=4.6370 alpha=90.00 beta=90.00 gamma=90.00
Fractional coordinates of all 5 atoms:
La (0.0000, 0.0000, 0.0000)
Ti (0.0000, 0.5000, 0.5000)
Ti (0.5000, 0.0000, 0.5000)
Ti (0.5000, 0.5000, 0.0000)
Ni (0.5000, 0.5000, 0.5000)